#a
Computed, not measured: crystalline Dy2Ho5Th5 at its relaxed geometry at the PBE-GGA level of DFT.

The structure in POSCAR format:
```
Dy2Ho5Th5
1.0
7.514 -2.512 0.000
7.514 2.512 0.000
-5.011 0.000 10.087
Dy Ho Th
2 5 5
Direct
0.083 0.083 0.250
0.917 0.917 0.750
0.332 0.332 0.496
0.416 0.416 0.252
0.500 0.500 0.000
0.584 0.584 0.748
0.668 0.668 0.504
0.000 0.000 0.500
0.169 0.169 0.003
0.250 0.250 0.753
0.750 0.750 0.247
0.831 0.831 0.997
```

---

#b
Computed, not measured: crystalline Dy2Ho5Th5 at its relaxed geometry at the PBE-GGA level of DFT.

The structure in POSCAR format:
```
Dy2Ho5Th5
1.0
5.982 -2.815 0.000
5.982 2.815 0.000
-3.863 0.000 11.364
Dy Ho Th
2 5 5
Direct
0.043 0.043 0.209
0.957 0.957 0.791
0.294 0.294 0.460
0.458 0.458 0.291
0.500 0.500 0.000
0.542 0.542 0.709
0.706 0.706 0.540
0.000 0.000 0.500
0.210 0.210 0.039
0.248 0.248 0.746
0.752 0.752 0.254
0.790 0.790 0.961
```

---

Least stable structure: #b

---

#a
Computed, not measured: crystalline Dy7Ho3Th at its relaxed geometry at the PBE-GGA level of DFT.

The structure in POSCAR format:
```
Dy7Ho3Th
1.0
7.029 0.000 0.000
-3.514 6.087 0.000
0.000 0.000 8.600
Dy Ho Th
7 3 1
Direct
0.000 0.000 0.000
0.166 0.331 0.334
0.166 0.834 0.334
0.503 0.006 0.005
0.503 0.497 0.005
0.669 0.834 0.334
0.994 0.497 0.005
0.336 0.168 0.666
0.832 0.168 0.666
0.832 0.664 0.666
0.667 0.333 0.334
```

---

#b
Computed, not measured: crystalline Dy7Ho3Th at its relaxed geometry at the PBE-GGA level of DFT.

The structure in POSCAR format:
```
Dy7Ho3Th
1.0
3.458 -9.226 0.000
3.458 9.226 0.000
-3.386 0.000 5.564
Dy Ho Th
7 3 1
Direct
0.000 0.000 0.000
0.062 0.384 0.443
0.384 0.062 0.443
0.413 0.587 0.000
0.587 0.413 0.000
0.616 0.938 0.557
0.938 0.616 0.557
0.000 0.000 0.500
0.000 0.500 0.000
0.500 0.000 0.000
0.500 0.500 0.500
```

---

Least stable structure: #a

---

#a
Computed, not measured: crystalline Dy9HoTh2 at its relaxed geometry at the PBE-GGA level of DFT.

The structure in POSCAR format:
```
Dy9HoTh2
1.0
5.020 0.000 0.000
0.000 5.020 0.000
0.000 0.000 15.004
Dy Ho Th
9 1 2
Direct
0.000 0.000 0.000
0.000 0.000 0.333
0.000 0.000 0.667
0.000 0.500 0.168
0.000 0.500 0.500
0.000 0.500 0.832
0.500 0.000 0.168
0.500 0.000 0.500
0.500 0.000 0.832
0.500 0.500 0.000
0.500 0.500 0.334
0.500 0.500 0.666
```

---

#b
Computed, not measured: crystalline Dy9HoTh2 at its relaxed geometry at the PBE-GGA level of DFT.

The structure in POSCAR format:
```
Dy9HoTh2
1.0
11.321 0.000 0.000
-5.660 9.804 0.000
0.000 0.000 3.467
Dy Ho Th
9 1 2
Direct
0.000 0.500 0.000
0.173 0.346 0.500
0.173 0.827 0.500
0.346 0.173 0.500
0.500 0.000 0.000
0.500 0.500 0.000
0.654 0.827 0.500
0.827 0.173 0.500
0.827 0.654 0.500
0.000 0.000 0.000
0.333 0.667 0.000
0.667 0.333 0.000
```

---

Least stable structure: #b

---

#a
Computed, not measured: crystalline DyHo9Th2 at its relaxed geometry at the PBE-GGA level of DFT.

The structure in POSCAR format:
```
DyHo9Th2
1.0
11.291 0.000 0.000
-5.645 9.778 0.000
0.000 0.000 3.465
Dy Ho Th
1 9 2
Direct
0.000 0.000 0.000
0.000 0.500 0.000
0.174 0.347 0.500
0.174 0.826 0.500
0.347 0.174 0.500
0.500 0.000 0.000
0.500 0.500 0.000
0.653 0.826 0.500
0.826 0.174 0.500
0.826 0.653 0.500
0.333 0.667 0.000
0.667 0.333 0.000
```

---

#b
Computed, not measured: crystalline DyHo9Th2 at its relaxed geometry at the PBE-GGA level of DFT.

The structure in POSCAR format:
```
DyHo9Th2
1.0
5.003 0.000 0.000
0.000 5.003 0.000
0.000 0.000 14.963
Dy Ho Th
1 9 2
Direct
0.000 0.000 0.000
0.000 0.500 0.168
0.000 0.500 0.500
0.000 0.500 0.832
0.500 0.000 0.168
0.500 0.000 0.500
0.500 0.000 0.832
0.500 0.500 0.000
0.500 0.500 0.333
0.500 0.500 0.667
0.000 0.000 0.334
0.000 0.000 0.666
```

---

Least stable structure: #a

---

#a
Computed, not measured: crystalline DyHoTh at its relaxed geometry at the PBE-GGA level of DFT.

The structure in POSCAR format:
```
DyHoTh
1.0
3.094 -1.787 0.000
3.094 1.787 0.000
-2.073 0.000 17.217
Dy Ho Th
2 2 2
Direct
0.194 0.194 0.082
0.806 0.806 0.918
0.084 0.084 0.750
0.916 0.916 0.250
0.361 0.361 0.583
0.639 0.639 0.417
```

---

#b
Computed, not measured: crystalline DyHoTh at its relaxed geometry at the PBE-GGA level of DFT.

The structure in POSCAR format:
```
DyHoTh
1.0
-1.786 1.786 7.466
1.786 -1.786 7.466
1.786 1.786 -7.466
Dy Ho Th
1 1 1
Direct
0.000 0.000 0.000
0.677 0.677 0.000
0.338 0.338 0.000
```

---

Least stable structure: #b

---

#a
Computed, not measured: crystalline DyHoTh at its relaxed geometry at the PBE-GGA level of DFT.

The structure in POSCAR format:
```
DyHoTh
1.0
0.000 5.355 5.364
3.420 0.000 5.364
3.420 5.355 0.000
Dy Ho Th
2 2 2
Direct
0.158 0.842 0.158
0.842 0.158 0.842
0.342 0.342 0.658
0.658 0.658 0.342
0.250 0.250 0.250
0.750 0.750 0.750
```

---

#b
Computed, not measured: crystalline DyHoTh at its relaxed geometry at the PBE-GGA level of DFT.

The structure in POSCAR format:
```
DyHoTh
1.0
3.564 0.000 0.000
-1.782 3.087 0.000
0.000 0.000 8.638
Dy Ho Th
1 1 1
Direct
0.000 0.000 0.000
0.667 0.333 0.345
0.333 0.667 0.672
```

---

Least stable structure: #a

---

#a
Computed, not measured: crystalline Dy3HoTh3 at its relaxed geometry at the PBE-GGA level of DFT.

The structure in POSCAR format:
```
Dy3HoTh3
1.0
9.446 0.000 0.000
-4.723 8.180 0.000
0.000 0.000 5.835
Dy Ho Th
6 2 6
Direct
0.092 0.621 0.250
0.379 0.470 0.250
0.470 0.092 0.750
0.530 0.908 0.250
0.621 0.530 0.750
0.908 0.379 0.750
0.333 0.667 0.750
0.667 0.333 0.250
0.048 0.813 0.750
0.187 0.234 0.750
0.234 0.048 0.250
0.766 0.952 0.750
0.813 0.766 0.250
0.952 0.187 0.250
```

---

#b
Computed, not measured: crystalline Dy3HoTh3 at its relaxed geometry at the PBE-GGA level of DFT.

The structure in POSCAR format:
```
Dy3HoTh3
1.0
9.493 0.000 0.000
-4.747 8.222 0.000
0.000 0.000 5.790
Dy Ho Th
6 2 6
Direct
0.044 0.805 0.250
0.195 0.239 0.250
0.239 0.044 0.750
0.761 0.956 0.250
0.805 0.761 0.750
0.956 0.195 0.750
0.333 0.667 0.250
0.667 0.333 0.750
0.103 0.617 0.750
0.383 0.486 0.750
0.486 0.103 0.250
0.514 0.897 0.750
0.617 0.514 0.250
0.897 0.383 0.250
```

---

Least stable structure: #b

---

#a
Computed, not measured: crystalline DyHoTh6 at its relaxed geometry at the PBE-GGA level of DFT.

The structure in POSCAR format:
```
DyHoTh6
1.0
5.045 0.000 0.000
0.000 5.045 0.000
0.000 0.000 10.093
Dy Ho Th
1 1 6
Direct
0.000 0.000 0.000
0.000 0.000 0.500
0.000 0.500 0.250
0.000 0.500 0.750
0.500 0.000 0.250
0.500 0.000 0.750
0.500 0.500 0.000
0.500 0.500 0.500
```

---

#b
Computed, not measured: crystalline DyHoTh6 at its relaxed geometry at the PBE-GGA level of DFT.

The structure in POSCAR format:
```
DyHoTh6
1.0
-3.000 3.000 7.172
3.000 -3.000 7.172
3.000 3.000 -7.172
Dy Ho Th
1 1 6
Direct
0.000 0.000 0.000
0.500 0.500 0.000
0.128 0.628 0.500
0.250 0.250 0.000
0.372 0.872 0.500
0.628 0.128 0.500
0.750 0.750 0.000
0.872 0.372 0.500
```

---

Least stable structure: #b

---

#a
Computed, not measured: crystalline Dy6HoTh at its relaxed geometry at the PBE-GGA level of DFT.

The structure in POSCAR format:
```
Dy6HoTh
1.0
5.024 0.000 0.000
0.000 5.024 0.000
0.000 0.000 9.979
Dy Ho Th
6 1 1
Direct
0.000 0.000 0.000
0.000 0.000 0.500
0.000 0.500 0.248
0.000 0.500 0.752
0.500 0.000 0.248
0.500 0.000 0.752
0.500 0.500 0.500
0.500 0.500 0.000
```

---

#b
Computed, not measured: crystalline Dy6HoTh at its relaxed geometry at the PBE-GGA level of DFT.

The structure in POSCAR format:
```
Dy6HoTh
1.0
6.558 0.000 0.000
0.268 6.640 0.000
0.664 3.275 5.859
Dy Ho Th
6 1 1
Direct
0.240 0.066 0.024
0.249 0.028 0.524
0.255 0.565 0.012
0.745 0.435 0.988
0.751 0.972 0.476
0.760 0.934 0.976
0.000 0.500 0.500
0.500 0.500 0.500
```

---

Least stable structure: #b

---

#a
Computed, not measured: crystalline Dy2Ho5Th4 at its relaxed geometry at the PBE-GGA level of DFT.

The structure in POSCAR format:
```
Dy2Ho5Th4
1.0
3.567 0.000 0.000
-0.007 8.643 0.000
-1.773 -2.973 11.306
Dy Ho Th
2 5 4
Direct
0.089 0.219 0.179
0.911 0.781 0.821
0.000 0.500 0.000
0.273 0.687 0.545
0.363 0.404 0.727
0.637 0.596 0.273
0.727 0.313 0.455
0.182 0.953 0.364
0.454 0.137 0.908
0.546 0.863 0.092
0.818 0.047 0.636
```

---

#b
Computed, not measured: crystalline Dy2Ho5Th4 at its relaxed geometry at the PBE-GGA level of DFT.

The structure in POSCAR format:
```
Dy2Ho5Th4
1.0
-1.744 4.648 11.483
1.744 -4.648 11.483
1.744 4.648 -11.483
Dy Ho Th
2 5 4
Direct
0.230 0.230 0.000
0.770 0.770 0.000
0.146 0.350 0.796
0.446 0.650 0.796
0.500 0.000 0.500
0.554 0.350 0.204
0.854 0.650 0.204
0.093 0.093 0.000
0.204 0.500 0.704
0.796 0.500 0.296
0.907 0.907 0.000
```

---

Least stable structure: #b

---

#a
Computed, not measured: crystalline DyHo7Th2 at its relaxed geometry at the PBE-GGA level of DFT.

The structure in POSCAR format:
```
DyHo7Th2
1.0
9.187 -1.778 0.000
9.187 1.778 0.000
-2.746 0.000 9.601
Dy Ho Th
1 7 2
Direct
0.000 0.000 0.000
0.000 0.000 0.500
0.201 0.201 0.604
0.397 0.397 0.196
0.400 0.400 0.700
0.600 0.600 0.300
0.603 0.603 0.804
0.799 0.799 0.396
0.200 0.200 0.100
0.800 0.800 0.900
```

---

#b
Computed, not measured: crystalline DyHo7Th2 at its relaxed geometry at the PBE-GGA level of DFT.

The structure in POSCAR format:
```
DyHo7Th2
1.0
4.333 -8.316 0.000
4.333 8.316 0.000
0.000 0.000 5.470
Dy Ho Th
1 7 2
Direct
0.000 0.000 0.000
0.066 0.285 0.500
0.206 0.794 0.000
0.285 0.066 0.500
0.500 0.500 0.500
0.715 0.934 0.500
0.794 0.206 0.000
0.934 0.715 0.500
0.295 0.705 0.500
0.705 0.295 0.500
```

---

Least stable structure: #b